Computed, not measured: an optimized crystal structure of FeRe2Te at the PBEsol level of DFT.

It has space group C2/m (No. 12), with a = 9.179 Å, b = 2.980 Å, c = 4.513 Å, α = 90.00°, β = 98.21° and γ = 90.00°. Symmetry generates all atoms from Fe at (0.000, 0.000, 0.000), Re at (0.226, 0.500, 0.216) and Te at (0.000, 0.500, 0.500).

Its formation energy from raw total energies is 0.5402 eV per atom. The value obtained for the total moment is 2.38 μB per cell. For the density of states at the Fermi level, the calculation gives 4.1 states/eV/f.u. As for the calculated total energy: -9.25 eV/atom.



Computed, not measured: an optimized crystal structure of RbSbI2O at the PBEsol level of DFT.

It has space group P4/mmm (No. 123), with a = 6.413 Å, b = 6.413 Å, c = 4.020 Å, α = 90.00°, β = 90.00° and γ = 90.00°. Symmetry generates all atoms from Rb at (0.000, 0.000, 0.000), Sb at (0.500, 0.500, 0.000), I at (0.000, 0.500, 0.500) and O at (0.500, 0.500, 0.500).

Its formation energy from raw total energies is -0.5013 eV per atom. The value obtained for the total moment is 0.00 μB per cell. For the density of states at the Fermi level, the calculation gives 3.0 states/eV/f.u. As for the calculated total energy: -3.37 eV/atom.



- Which of these has the lowest formation energy from raw total energies?
  RbSbI2O